1.
# SiSe (PBEsol, relaxed)
data_SiSe
_chemical_formula_sum 'Si6 Se6'
_cell_length_a 12.9361
_cell_length_b 3.3786
_cell_length_c 6.3581
_cell_angle_alpha 90.00
_cell_angle_beta 94.75
_cell_angle_gamma 90.00
_symmetry_space_group_name_H-M 'C 1 m 1'
_symmetry_Int_Tables_number 8
_symmetry_space_group_name_Hall 'C -2y'
loop_
_atom_site_label
_atom_site_type_symbol
_atom_site_fract_x
_atom_site_fract_y
_atom_site_fract_z
Si1 Si 0.0000 0.0000 0.0000
Si2 Si 0.0046 0.5000 0.6159
Si3 Si 0.0648 0.5000 0.2601
Se1 Se 0.1314 0.0000 0.7616
Se2 Se 0.1957 0.0000 0.2939
Se3 Se 0.3692 0.5000 0.6931
# energy relative to the elements, uncorrected: 4 meV per atom

=====

2.
# ScCrHg (PBEsol, relaxed)
data_ScCrHg
_chemical_formula_sum 'Sc4 Cr4 Hg4'
_cell_length_a 6.4062
_cell_length_b 6.4062
_cell_length_c 6.4062
_cell_angle_alpha 90.00
_cell_angle_beta 90.00
_cell_angle_gamma 90.00
_symmetry_space_group_name_H-M 'F -4 3 m'
_symmetry_Int_Tables_number 216
_symmetry_space_group_name_Hall 'F -4 2 3'
loop_
_atom_site_label
_atom_site_type_symbol
_atom_site_fract_x
_atom_site_fract_y
_atom_site_fract_z
Sc1 Sc 0.0000 0.0000 0.0000
Cr1 Cr 0.2500 0.2500 0.7500
Hg1 Hg 0.2500 0.2500 0.2500
# formation energy from the elements: 0.65 eV per atom

=====

3.
# Li4Ti2V3Cr3O16 (PBEsol, relaxed)
data_Li4Ti2V3Cr3O16
_chemical_formula_sum 'Li8 Ti4 V6 Cr6 O32'
_cell_length_a 9.9891
_cell_length_b 5.7648
_cell_length_c 9.3943
_cell_angle_alpha 90.00
_cell_angle_beta 90.32
_cell_angle_gamma 90.00
_symmetry_space_group_name_H-M 'C 1 m 1'
_symmetry_Int_Tables_number 8
_symmetry_space_group_name_Hall 'C -2y'
loop_
_atom_site_label
_atom_site_type_symbol
_atom_site_fract_x
_atom_site_fract_y
_atom_site_fract_z
Li1 Li 0.0000 0.0000 0.0000
Li2 Li 0.0019 0.0000 0.4998
Li3 Li 0.1627 0.5000 0.6034
Li4 Li 0.3284 0.0000 0.0997
Ti1 Ti 0.1666 0.5000 0.9976
Ti2 Ti 0.3339 0.0000 0.5002
V1 V 0.0859 0.2667 0.2778
V2 V 0.1742 0.0000 0.7753
Cr1 Cr 0.3315 0.5000 0.2817
Cr2 Cr 0.4126 0.2448 0.7805
O1 O 0.0014 0.0000 0.6895
O2 O 0.0031 0.0000 0.1898
O3 O 0.0140 0.5000 0.1502
O4 O 0.0833 0.2500 0.8954
O5 O 0.1668 0.0000 0.3936
O6 O 0.1673 0.5000 0.3960
O7 O 0.2388 0.2813 0.1559
O8 O 0.2572 0.2224 0.6526
O9 O 0.3286 0.0000 0.8925
O10 O 0.3320 0.5000 0.8976
O11 O 0.4183 0.2476 0.3972
O12 O 0.4772 0.0000 0.6573
# energy relative to the elements, uncorrected: -2363 meV per atom